No. 1
Density functional theory data (PBE-GGA) for SiNiW2 after structural relaxation.

The space group is Pmmm (No. 47) and the conventional cell measures 2.696, 3.992 and 5.205 Å, with angles of 90.00, 90.00 and 90.00 degrees. Symmetry generates all atoms from Si at (0.000, 0.000, 0.000), Ni at (0.000, 0.000, 0.500) and W at (0.500, 0.500, 0.250).



No. 2
Density functional theory data (PBE-GGA) for SiNiW2 after structural relaxation.

The space group is Pmmm (No. 47) and the conventional cell measures 3.350, 4.078 and 4.103 Å, with angles of 90.00, 90.00 and 90.00 degrees. Symmetry generates all atoms from Si at (0.000, 0.000, 0.000), Ni at (0.500, 0.000, 0.500), W at (0.000, 0.500, 0.500) and W at (0.500, 0.500, 0.000).



No. 3
Density functional theory data (PBE-GGA) for YSi2NiW after structural relaxation.

Its excess energy over the best structure of this formula in the dataset is 0 meV/atom.

The space group is P4/mmm (No. 123) and the conventional cell measures 4.943, 4.943 and 4.458 Å, with angles of 90.00, 90.00 and 90.00 degrees. Symmetry generates all atoms from Y at (0.000, 0.000, 0.000), Si at (0.000, 0.500, 0.000), Ni at (0.000, 0.000, 0.500) and W at (0.500, 0.500, 0.500).



No. 4
Density functional theory data (PBE-GGA) for YSi2NiW after structural relaxation.

Its excess energy over the best structure of this formula in the dataset is 283 meV/atom.

The space group is P4/mmm (No. 123) and the conventional cell measures 5.128, 5.128 and 5.031 Å, with angles of 90.00, 90.00 and 90.00 degrees. Symmetry generates all atoms from Y at (0.000, 0.000, 0.000), Si at (0.000, 0.500, 0.000), Ni at (0.500, 0.500, 0.500) and W at (0.000, 0.000, 0.500).



no.,uncorrected formation energy (eV per formula unit),VASP energy (eV per atom),D(E_F) (states/eV per cell)
1,0.29,-9.2049,2.23
2,0.14,-9.2435,2.99
3,10.34,-5.1410,6.35
4,11.75,-4.8580,5.63